Record 1
# Tb4CdHg2Rh (PBE-GGA, optimized geometry)
data_Tb4CdHg2Rh
_chemical_formula_sum 'Tb12 Cd3 Hg6 Rh3'
_cell_length_a 5.2062
_cell_length_b 5.2062
_cell_length_c 25.1662
_cell_angle_alpha 90.00
_cell_angle_beta 90.00
_cell_angle_gamma 120.00
_symmetry_space_group_name_H-M 'R -3 m'
_symmetry_Int_Tables_number 166
_symmetry_space_group_name_Hall '-R 3 2"'
loop_
_atom_site_label
_atom_site_fract_x
_atom_site_fract_y
_atom_site_fract_z
Tb1 0.0000 0.0000 0.1136
Tb2 0.0000 0.0000 0.3680
Cd1 0.0000 0.0000 0.5000
Hg1 0.0000 0.0000 0.2390
Rh1 0.0000 0.0000 0.0000
# DFT total energy: -3.96 eV/atom
# formation energy: -51.9 kJ per mole of atoms
# total magnetization: 0.000 μB/atom

=====

Record 2
# Tl2CdHgRh (PBE-GGA, optimized geometry)
data_Tl2CdHgRh
_chemical_formula_sum 'Tl2 Cd1 Hg1 Rh1'
_cell_length_a 5.2984
_cell_length_b 5.2984
_cell_length_c 5.3591
_cell_angle_alpha 90.00
_cell_angle_beta 90.00
_cell_angle_gamma 90.00
_symmetry_space_group_name_H-M 'P 4/m m m'
_symmetry_Int_Tables_number 123
_symmetry_space_group_name_Hall '-P 4 2'
loop_
_atom_site_label
_atom_site_fract_x
_atom_site_fract_y
_atom_site_fract_z
Tl1 0.0000 0.5000 0.0000
Cd1 0.0000 0.0000 0.5000
Hg1 0.5000 0.5000 0.5000
Rh1 0.5000 0.5000 0.0000
# E above lowest polymorph: 86.6 meV/atom
# DFT total energy: -2.57 eV/atom
# formation energy: 8.3 kJ per mole of atoms
# total magnetization: 0.000 μB/atom

=====

Record 3
# Tl2CdHgRh (PBE-GGA, optimized geometry)
data_Tl2CdHgRh
_chemical_formula_sum 'Tl2 Cd1 Hg1 Rh1'
_cell_length_a 5.2883
_cell_length_b 5.2883
_cell_length_c 5.3109
_cell_angle_alpha 90.00
_cell_angle_beta 90.00
_cell_angle_gamma 90.00
_symmetry_space_group_name_H-M 'P 4/m m m'
_symmetry_Int_Tables_number 123
_symmetry_space_group_name_Hall '-P 4 2'
loop_
_atom_site_label
_atom_site_fract_x
_atom_site_fract_y
_atom_site_fract_z
Tl1 0.0000 0.5000 0.0000
Cd1 0.0000 0.0000 0.5000
Hg1 0.5000 0.5000 0.5000
Rh1 0.0000 0.0000 0.0000
# E above lowest polymorph: 0.0 meV/atom
# DFT total energy: -2.66 eV/atom
# formation energy: 0.0 kJ per mole of atoms
# total magnetization: 0.000 μB/atom

=====

Record 4
# TlCd2HgRh (PBE-GGA, optimized geometry)
data_TlCd2HgRh
_chemical_formula_sum 'Tl1 Cd2 Hg1 Rh1'
_cell_length_a 5.2115
_cell_length_b 5.2115
_cell_length_c 5.2701
_cell_angle_alpha 90.00
_cell_angle_beta 90.00
_cell_angle_gamma 90.00
_symmetry_space_group_name_H-M 'P 4/m m m'
_symmetry_Int_Tables_number 123
_symmetry_space_group_name_Hall '-P 4 2'
loop_
_atom_site_label
_atom_site_fract_x
_atom_site_fract_y
_atom_site_fract_z
Tl1 0.0000 0.0000 0.0000
Cd1 0.0000 0.5000 0.5000
Hg1 0.5000 0.5000 0.0000
Rh1 0.5000 0.5000 0.5000
# E above lowest polymorph: 48.0 meV/atom
# DFT total energy: -2.26 eV/atom
# formation energy: 10.5 kJ per mole of atoms
# total magnetization: 0.000 μB/atom